No. 1
Here is a relaxed structure of SiAsO2F from Alexandria via LeMat-Bulk. Energies are from PBE-GGA.

a = 3.523 Å, b = 3.523 Å, c = 4.395 Å
α = 90.00°, β = 90.00°, γ = 90.00°
Atoms (fractional coordinates):
Si (0.000, 0.000, 0.000)
As (0.500, 0.500, 0.500)
O (0.000, 0.500, 0.000)
O (0.500, 0.000, 0.000)
F (0.000, 0.000, 0.500)

Output
E_form (uncorrected)   -1.028 eV per atom
E_tot   -5.3999 eV per atom
Calculated volume   10.91 A^3/atom

***

No. 2
Here is a relaxed structure of Cs2COF6 from Alexandria via LeMat-Bulk. Energies are from PBE-GGA.

a = 6.225 Å, b = 6.225 Å, c = 6.225 Å
α = 118.11°, β = 118.11°, γ = 93.30°
Atoms (fractional coordinates):
Cs (0.250, 0.750, 0.500)
Cs (0.750, 0.250, 0.500)
C (0.000, 0.000, 0.000)
O (0.500, 0.500, 0.000)
F (0.174, 0.174, 0.348)
F (0.174, 0.826, 0.000)
F (0.188, 0.188, 0.000)
F (0.812, 0.812, 0.000)
F (0.826, 0.174, 0.000)
F (0.826, 0.826, 0.652)

Output
E_form (uncorrected)   -1.352 eV per atom
E_tot   -4.0639 eV per atom
Calculated volume   17.52 A^3/atom

***

No. 3
Here is a relaxed structure of K8PSe2 from Alexandria via LeMat-Bulk. Energies are from PBE-GGA.

a = 10.412 Å, b = 10.412 Å, c = 7.878 Å
α = 112.21°, β = 112.21°, γ = 30.84°
Atoms (fractional coordinates):
K (0.000, 0.000, 0.244)
K (0.000, 0.000, 0.756)
K (0.197, 0.197, 0.198)
K (0.365, 0.365, 0.134)
K (0.365, 0.365, 0.596)
K (0.635, 0.635, 0.404)
K (0.635, 0.635, 0.866)
K (0.803, 0.803, 0.802)
P (0.500, 0.500, 0.000)
Se (0.200, 0.200, 0.700)
Se (0.800, 0.800, 0.300)

Output
E_form (uncorrected)   -0.578 eV per atom
E_tot   -2.5012 eV per atom
Calculated volume   36.61 A^3/atom

***

No. 4
Here is a relaxed structure of Sm3AgHg3 from Alexandria via LeMat-Bulk. Energies are from PBE-GGA.

a = 7.249 Å, b = 7.249 Å, c = 7.367 Å
α = 90.00°, β = 90.00°, γ = 90.50°
Atoms (fractional coordinates):
Sm (0.000, 0.000, 0.248)
Sm (0.000, 0.000, 0.752)
Sm (0.000, 0.500, 0.243)
Sm (0.000, 0.500, 0.757)
Sm (0.500, 0.000, 0.243)
Sm (0.500, 0.000, 0.757)
Ag (0.256, 0.744, 0.000)
Ag (0.744, 0.256, 0.000)
Hg (0.272, 0.272, 0.500)
Hg (0.281, 0.719, 0.500)
Hg (0.333, 0.333, 0.000)
Hg (0.667, 0.667, 0.000)
Hg (0.719, 0.281, 0.500)
Hg (0.728, 0.728, 0.500)

Output
E_tot   -2.8226 eV per atom
Calculated volume   27.65 A^3/atom
Formation enthalpy at 0 K   -263 meV/atom